[1]
The following is a GGA-PBEsol calculation of MnTePd3 after structural relaxation, from Alexandria.

Lattice parameters (Å, degrees): 4.835 4.835 4.835 90.00 90.00 90.00
Space group Pm-3m (No. 221)
One atom of each set of equivalent atoms:
Mn  0.000  0.000  0.000 [1 per cell]
Te  0.500  0.500  0.500 [1 per cell]
Pd  0.000  0.500  0.500 [3 per cell]

Raw formation energy ... 0.64 eV/atom
Spin magnetization ... 4.8 μB per formula unit
Fermi-level density of states ... 0.32 states/eV/atom

[2]
The following is a GGA-PBEsol calculation of Mn2TePd2 after structural relaxation, from Alexandria.

Lattice parameters (Å, degrees): 3.756 3.756 12.494 90.00 90.00 90.00
Space group I4/mmm (No. 139)
One atom of each set of equivalent atoms:
Mn  0.000  0.000  0.110 [4 per cell]
Te  0.000  0.000  0.500 [2 per cell]
Pd  0.000  0.500  0.250 [4 per cell]

Raw formation energy ... 0.23 eV/atom
Spin magnetization ... 8.3 μB per formula unit
Fermi-level density of states ... 0.73 states/eV/atom

[3]
The following is a GGA-PBEsol calculation of Mn3TlPd after structural relaxation, from Alexandria.

Lattice parameters (Å, degrees): 4.911 4.911 4.911 90.00 90.00 90.00
Space group Pm-3m (No. 221)
One atom of each set of equivalent atoms:
Mn  0.000  0.000  0.500 [3 per cell]
Tl  0.000  0.000  0.000 [1 per cell]
Pd  0.500  0.500  0.500 [1 per cell]

Spin magnetization ... 12.7 μB per formula unit
Fermi-level density of states ... 0.71 states/eV/atom
ΔH_f (0 K) ... 1659 meV/atom

[4]
The following is a GGA-PBEsol calculation of MnTlPd2 after structural relaxation, from Alexandria.

Lattice parameters (Å, degrees): 6.363 6.363 6.363 90.00 90.00 90.00
Space group Fm-3m (No. 225)
One atom of each set of equivalent atoms:
Mn  0.000  0.000  0.000 [4 per cell]
Tl  0.000  0.000  0.500 [4 per cell]
Pd  0.250  0.250  0.250 [8 per cell]

Spin magnetization ... 4.2 μB per formula unit
Fermi-level density of states ... 0.49 states/eV/atom
ΔH_f (0 K) ... -102 meV/atom

[5]
The following is a GGA-PBEsol calculation of MnZn2PdW after structural relaxation, from Alexandria.

Lattice parameters (Å, degrees): 4.547 4.547 4.793 90.00 90.00 90.00
Space group P4/mmm (No. 123)
One atom of each set of equivalent atoms:
Mn  0.000  0.000  0.000 [1 per cell]
Zn  0.000  0.500  0.500 [2 per cell]
Pd  0.500  0.500  0.500 [1 per cell]
W  0.500  0.500  0.000 [1 per cell]

Spin magnetization ... 3.9 μB per formula unit
Fermi-level density of states ... 0.91 states/eV/atom
ΔH_f (0 K) ... 1284 meV/atom

[6]
The following is a GGA-PBEsol calculation of PrMnSi after structural relaxation, from Alexandria.

Lattice parameters (Å, degrees): 3.952 3.952 7.397 90.00 90.00 90.00
Space group P4/nmm (No. 129, origin choice 2)
One atom of each set of equivalent atoms:
Pr  0.250  0.250  0.172 [2 per cell]
Mn  0.250  0.750  0.500 [2 per cell]
Si  0.250  0.250  0.681 [2 per cell]

Raw formation energy ... -0.48 eV/atom
Spin magnetization ... 1.8 μB per formula unit
Fermi-level density of states ... 0.81 states/eV/atom

[7]
The following is a GGA-PBEsol calculation of TbPrMn4 after structural relaxation, from Alexandria.

Lattice parameters (Å, degrees): 7.246 7.246 7.246 90.00 90.00 90.00
Space group F-43m (No. 216)
One atom of each set of equivalent atoms:
Tb  0.000  0.000  0.000 [4 per cell]
Pr  0.250  0.250  0.250 [4 per cell]
Mn  0.126  0.126  0.626 [16 per cell]

Spin magnetization ... 6.3 μB per formula unit
Fermi-level density of states ... 1.28 states/eV/atom
ΔH_f (0 K) ... 292 meV/atom

[8]
The following is a GGA-PBEsol calculation of Mn3Pt after structural relaxation, from Alexandria.

Lattice parameters (Å, degrees): 5.1476 5.1476 3.9990 90.00 90.00 120.00
Space group P6_3/mmc (No. 194)
One atom of each set of equivalent atoms:
Mn  0.1515  0.3030  0.2500 [6 per cell]
Pt  0.3333  0.6667  0.7500 [2 per cell]

Spin magnetization ... 0.0 μB per formula unit
Fermi-level density of states ... 0.40 states/eV/atom
ΔH_f (0 K) ... -177 meV/atom

[9]
The following is a GGA-PBEsol calculation of MnPt2 after structural relaxation, from Alexandria.

Lattice parameters (Å, degrees): 10.040 2.767 6.553 90.00 107.81 90.00
Space group C2/m (No. 12)
One atom of each set of equivalent atoms:
Mn  0.029  0.000  0.287 [4 per cell]
Pt  0.140  0.500  0.033 [4 per cell]
Pt  0.175  0.500  0.619 [4 per cell]

Spin magnetization ... 4.0 μB per formula unit
Fermi-level density of states ... 1.22 states/eV/atom
ΔH_f (0 K) ... -172 meV/atom

[10]
The following is a GGA-PBEsol calculation of MnPt2 after structural relaxation, from Alexandria.

Lattice parameters (Å, degrees): 5.763 5.763 5.763 90.00 90.00 90.00
Space group Fm-3m (No. 225)
One atom of each set of equivalent atoms:
Mn  0.000  0.000  0.000 [4 per cell]
Pt  0.250  0.250  0.250 [8 per cell]

Spin magnetization ... 3.5 μB per formula unit
Fermi-level density of states ... 1.35 states/eV/atom
ΔH_f (0 K) ... 77 meV/atom

[11]
The following is a GGA-PBEsol calculation of MnPt2 after structural relaxation, from Alexandria.

Lattice parameters (Å, degrees): 2.773 2.773 11.202 90.00 90.00 90.00
Space group I4/mmm (No. 139)
One atom of each set of equivalent atoms:
Mn  0.000  0.000  0.000 [2 per cell]
Pt  0.000  0.000  0.342 [4 per cell]

Spin magnetization ... 4.0 μB per formula unit
Fermi-level density of states ... 1.02 states/eV/atom
ΔH_f (0 K) ... -206 meV/atom

[12]
The following is a GGA-PBEsol calculation of Mn3Pt after structural relaxation, from Alexandria.

Lattice parameters (Å, degrees): 2.586 3.532 5.201 90.00 90.00 90.00
Space group Pmmm (No. 47)
One atom of each set of equivalent atoms:
Mn  0.000  0.000  0.000 [1 per cell]
Mn  0.500  0.500  0.225 [2 per cell]
Pt  0.000  0.000  0.500 [1 per cell]

Spin magnetization ... 1.2 μB per formula unit
Fermi-level density of states ... 1.05 states/eV/atom
ΔH_f (0 K) ... -48 meV/atom